Entry 1:
This record from Alexandria describes crystalline Y2Er2Tm3 at its relaxed geometry. The functional is PBE-GGA.

Results
volume = 30.78 Å³ per atom
size of the total moment = 0.0 μB/f.u.
space group = C2/m (12)
energy of formation = 0.03 eV/atom
VASP energy = -5.039 eV/atom
N(E_F) = 1.391 states/eV/atom
energy above the lowest structure with this stoichiometry = 0.0 meV/atom

a b c (Å): 7.8791 7.8791 8.6250
angles (deg): 111.47 111.47 25.73
Last column: nearest neighbours and their distance in Å.
Fractional coordinates of all 7 atoms:
1 Y 0.0718 0.0718 0.2145  5 Tm 3.51-3.53, 3 Y 3.51-3.52, 4 Er 3.54
2 Y 0.9282 0.9282 0.7855  5 Tm 3.51-3.53, 3 Y 3.51-3.52, 4 Er 3.54
3 Er 0.3559 0.3559 0.0725  4 Er 3.49-3.51, 4 Tm 3.50-3.53, 4 Y 3.54
4 Er 0.6441 0.6441 0.9275  4 Er 3.49-3.51, 4 Tm 3.50-3.53, 4 Y 3.54
5 Tm 0.2133 0.2133 0.6418  3 Er 3.50-3.53, 3 Y 3.51-3.53, 6 Tm 3.51-3.52
6 Tm 0.5000 0.5000 0.5000  6 Tm 3.51, 2 Er 3.52, 4 Y 3.52
7 Tm 0.7867 0.7867 0.3582  3 Er 3.50-3.53, 3 Y 3.51-3.53, 6 Tm 3.51-3.52

***

Entry 2:
This record from Alexandria describes crystalline Y4ErTm4 at its relaxed geometry. The functional is PBE-GGA.

Results
volume = 31.04 Å³ per atom
size of the total moment = 0.0 μB/f.u.
space group = I4/mmm (139)
energy of formation = 0.03 eV/atom
VASP energy = -5.338 eV/atom
N(E_F) = 1.430 states/eV/atom

a b c (Å): 7.8936 7.8936 7.8936
angles (deg): 95.71 95.71 143.23
Last column: nearest neighbours and their distance in Å.
Fractional coordinates of all 9 atoms:
1 Y 0.1667 0.1667 0.3333  4 Y 3.53, 2 Er 3.53, 6 Tm 3.53
2 Y 0.1667 0.8333 0.0000  4 Y 3.53, 2 Er 3.53, 6 Tm 3.53
3 Y 0.8333 0.1667 0.0000  4 Y 3.53, 2 Er 3.53, 6 Tm 3.53
4 Y 0.8333 0.8333 0.6667  4 Y 3.53, 2 Er 3.53, 6 Tm 3.53
5 Er 0.5000 0.5000 0.0000  8 Y 3.53, 4 Tm 3.55
6 Tm 0.1650 0.5000 0.6650  5 Tm 3.50-3.51, 6 Y 3.53, 1 Er 3.55
7 Tm 0.5000 0.1650 0.6650  5 Tm 3.50-3.51, 6 Y 3.53, 1 Er 3.55
8 Tm 0.5000 0.8350 0.3350  5 Tm 3.50-3.51, 6 Y 3.53, 1 Er 3.55
9 Tm 0.8350 0.5000 0.3350  5 Tm 3.50-3.51, 6 Y 3.53, 1 Er 3.55

***

Entry 3:
This record from Alexandria describes crystalline Y11Er4Tm9 at its relaxed geometry. The functional is PBE-GGA.

Results
volume = 31.43 Å³ per atom
size of the total moment = 1.0 μB/f.u.
space group = Cmmm (65)
energy of formation = 0.05 eV/atom
VASP energy = -5.349 eV/atom
N(E_F) = 1.311 states/eV/atom

a b c (Å): 14.9979 14.9979 3.6430
angles (deg): 90.00 90.00 112.98
Last column: nearest neighbours and their distance in Å.
Fractional coordinates of all 24 atoms:
1 Y 0.0000 0.0000 0.0000  8 Tm 3.48, 2 Y 3.64
2 Y 0.0445 0.4061 0.0000  2 Er 3.35, 6 Tm 3.48-3.64, 3 Y 3.56-3.64
3 Y 0.1597 0.8403 0.0000  5 Y 3.64-3.99, 8 Tm 3.65-3.70
4 Y 0.2926 0.2926 0.0000  4 Er 3.23, 4 Tm 3.57
5 Y 0.3677 0.6323 0.0000  4 Er 3.24, 4 Tm 3.54
6 Y 0.4061 0.0445 0.0000  2 Er 3.35, 6 Tm 3.48-3.64, 3 Y 3.56-3.64
7 Y 0.5939 0.9555 0.0000  2 Er 3.35, 6 Tm 3.48-3.64, 3 Y 3.56-3.64
8 Y 0.6323 0.3677 0.0000  4 Er 3.24, 4 Tm 3.54
9 Y 0.7074 0.7074 0.0000  4 Er 3.23, 4 Tm 3.57
10 Y 0.8403 0.1597 0.0000  5 Y 3.64-3.99, 8 Tm 3.65-3.70
11 Y 0.9555 0.5939 0.0000  2 Er 3.35, 6 Tm 3.48-3.64, 3 Y 3.56-3.64
12 Er 0.2439 0.4460 0.5000  6 Y 3.23-3.35, 3 Tm 3.42-3.60
13 Er 0.4460 0.2439 0.5000  6 Y 3.23-3.35, 3 Tm 3.42-3.60
14 Er 0.5540 0.7561 0.5000  6 Y 3.23-3.35, 3 Tm 3.42-3.60
15 Er 0.7561 0.5540 0.5000  6 Y 3.23-3.35, 3 Tm 3.42-3.60
16 Tm 0.0702 0.2145 0.5000  1 Er 3.43, 8 Y 3.48-3.70, 3 Tm 3.61-3.64
17 Tm 0.1650 0.6313 0.5000  3 Tm 3.37-3.64, 1 Er 3.42, 8 Y 3.48-3.65
18 Tm 0.2145 0.0702 0.5000  1 Er 3.43, 8 Y 3.48-3.70, 3 Tm 3.61-3.64
19 Tm 0.3687 0.8350 0.5000  3 Tm 3.37-3.64, 1 Er 3.42, 8 Y 3.48-3.65
20 Tm 0.5000 0.5000 0.5000  4 Er 3.60, 2 Tm 3.64, 8 Y 3.78-3.89
21 Tm 0.6313 0.1650 0.5000  3 Tm 3.37-3.64, 1 Er 3.42, 8 Y 3.48-3.65
22 Tm 0.7855 0.9298 0.5000  1 Er 3.43, 8 Y 3.48-3.70, 3 Tm 3.61-3.64
23 Tm 0.8350 0.3687 0.5000  3 Tm 3.37-3.64, 1 Er 3.42, 8 Y 3.48-3.65
24 Tm 0.9298 0.7855 0.5000  1 Er 3.43, 8 Y 3.48-3.70, 3 Tm 3.61-3.64

***

Entry 4:
This record from Alexandria describes crystalline Y2ErTm12 at its relaxed geometry. The functional is PBE-GGA.

Results
volume = 30.77 Å³ per atom
size of the total moment = 0.0 μB/f.u.
space group = P2/m (10)
energy of formation = 0.07 eV/atom
VASP energy = -4.670 eV/atom
N(E_F) = 1.681 states/eV/atom

a b c (Å): 3.5902 5.5767 23.1209
angles (deg): 90.00 94.42 90.00
Last column: nearest neighbours and their distance in Å.
Fractional coordinates of all 15 atoms:
1 Y 0.1422 0.0000 0.2847  10 Tm 3.43-3.71, 2 Y 3.59
2 Y 0.8578 0.0000 0.7153  10 Tm 3.43-3.71, 2 Y 3.59
3 Er 0.0000 0.0000 0.0000  2 Er 3.59, 12 Tm 3.65-3.82
4 Tm 0.0972 0.5000 0.1925  10 Tm 3.41-3.59, 2 Y 3.51
5 Tm 0.2211 0.5000 0.4429  8 Tm 3.18-3.34
6 Tm 0.2878 0.0000 0.5746  8 Tm 3.34-3.66, 2 Y 3.71
7 Tm 0.3390 0.5000 0.6774  8 Tm 3.30-3.66, 4 Y 3.43
8 Tm 0.4277 0.0000 0.8540  8 Tm 3.34-3.59, 2 Y 3.66-3.67
9 Tm 0.4637 0.5000 0.9333  5 Tm 3.07-3.42
10 Tm 0.5363 0.5000 0.0667  5 Tm 3.07-3.42
11 Tm 0.5723 0.0000 0.1460  8 Tm 3.34-3.59, 2 Y 3.66-3.67
12 Tm 0.6610 0.5000 0.3226  8 Tm 3.30-3.66, 4 Y 3.43
13 Tm 0.7122 0.0000 0.4254  8 Tm 3.34-3.66, 2 Y 3.71
14 Tm 0.7789 0.5000 0.5571  8 Tm 3.18-3.34
15 Tm 0.9028 0.5000 0.8075  10 Tm 3.41-3.59, 2 Y 3.51